--- one ---
# RePtPb2

Crystalline RePtPb2 at its relaxed geometry (PBE-GGA, Alexandria).

a b c (Å): 4.7857 4.7857 3.4810
angles (deg): 90.00 90.00 90.08
Closest atoms and distances in Å follow each position.
Atoms (fractional coordinates):
Re 0.0000 0.0000 0.0000  8 Pb 2.96
Pt 0.5000 0.5000 0.0000  8 Pb 2.96
Pb 0.0000 0.5000 0.5000  4 Re 2.96, 4 Pt 2.96
Pb 0.5000 0.0000 0.5000  4 Re 2.96, 4 Pt 2.96

Its symmetry is No. 65.


--- two ---
# RePtPb2

Crystalline RePtPb2 at its relaxed geometry (PBE-GGA, Alexandria).

a b c (Å): 3.0839 3.0848 9.6127
angles (deg): 90.00 90.17 90.00
Closest atoms and distances in Å follow each position.
Atoms (fractional coordinates):
Re 0.0000 0.0000 0.0000  4 Pt 2.66
Pt 0.4986 0.5000 0.8408  4 Re 2.66
Pb 0.5029 0.5000 0.2327  4 Pb 3.08, 4 Re 3.12-3.13
Pb 0.9955 0.0000 0.6046  4 Pb 3.08, 4 Pt 3.15

Its symmetry is No. 6.


--- three ---
# RePtPb2

Crystalline RePtPb2 at its relaxed geometry (PBE-GGA, Alexandria).

a b c (Å): 3.2026 3.2026 8.9172
angles (deg): 90.00 90.00 114.18
Closest atoms and distances in Å follow each position.
Atoms (fractional coordinates):
Re 0.0000 0.0000 0.0000  4 Pb 2.82
Pt 0.0000 0.0000 0.5000  4 Pb 2.84
Pb 0.5000 0.5000 0.2487  2 Re 2.82, 2 Pt 2.84
Pb 0.5000 0.5000 0.7513  2 Re 2.82, 2 Pt 2.84

Its symmetry is No. 65.


--- four ---
# RePtPb2

Crystalline RePtPb2 at its relaxed geometry (PBE-GGA, Alexandria).

a b c (Å): 5.6401 5.6401 5.4751
angles (deg): 105.92 105.92 30.37
Closest atoms and distances in Å follow each position.
Atoms (fractional coordinates):
Re 0.0000 0.0000 0.0000  2 Pt 2.66, 1 Pb 2.95, 2 Re 2.95
Pt 0.3279 0.3279 0.6680  2 Re 2.66, 1 Pb 2.94, 2 Pt 2.95
Pb 0.5673 0.5673 0.5202  3 Pt 2.94-3.10, 2 Pb 2.95, 4 Re 3.11-3.27
Pb 0.7596 0.7596 0.1466  3 Re 2.95-3.09, 2 Pb 2.95, 4 Pt 3.11-3.27

Its symmetry is No. 8.


In meV/atom, relative to the most stable structure: one 371; two 0; three 491; four 233.